Density functional theory data (PBE+U) for crystalline LiNiP3O9 at its relaxed geometry.

## Properties
SG: R3
D(E_F) in states/eV/f.u.: 0.0
Mass density in kg/m³: 2441
Volume in Å³/atom: 14.70
Offset from the most stable computed form in meV per atom: 29

Cell: 6.277 6.277 6.277 Å, 107.03 107.03 107.03°
Fractional coordinates of all 14 atoms:
O  0.907  0.964  0.644
O  0.964  0.644  0.907
O  0.121  0.083  0.374
O  0.282  0.878  0.637
P  0.489  0.042  0.911
O  0.637  0.282  0.878
Li  0.362  0.362  0.362
O  0.878  0.637  0.282
P  0.042  0.911  0.489
P  0.911  0.489  0.042
O  0.644  0.907  0.964
O  0.083  0.374  0.121
Ni  0.992  0.992  0.992
O  0.374  0.121  0.083